SCAN KMnBr2, PBEsol geometry; density = 3.7 g cm⁻³; DFT total energy = -17.363 eV per atom; formation energy without anion corrections = -0.99 eV/atom
1.0
3.870 0.000 0.000
1.935 5.546 0.082
1.935 1.628 5.303
Br K Mn
2 1 1
direct
0.190 0.810 0.810
0.810 0.190 0.190
0.000 0.500 0.500
0.500 0.000 0.000

---

SCAN SrCd3, PBEsol geometry; density = 6.5 g cm⁻³; DFT total energy = -28.627 eV per atom; ΔE_f = -0.25 eV/atom
1.0
-3.361 -1.469 0.726
1.965 -2.637 3.761
-1.148 4.399 3.684
Sr Cd
1 3
direct
0.500 0.500 0.000
0.002 0.000 0.748
0.000 0.500 0.500
0.998 0.000 0.252